Below is a geometry-optimized Rb2MoHF6 structure, with properties calculated at the PBE+U level.

Properties
raw total energy: -4.592 eV per atom
theoretical density: 3.40 Mg/m³

Cell lengths 6.317, 6.317, 6.461 Å; angles 60.74, 60.74, 90.00 degrees
Last column: magnetic moment on the atom in μB.
Element x y z (fractional)
H: 0.500 0.500 0.000  0.38
Mo: 0.000 0.000 0.000  1.88
Rb: 0.750 0.250 0.500  0.00
Rb: 0.250 0.750 0.500  0.00
F: 0.219 0.219 0.562  0.04
F: 0.781 0.781 0.438  0.04
F: 0.222 0.222 0.000  0.02
F: 0.778 0.778 0.000  0.02
F: 0.778 0.222 0.000  0.02
F: 0.222 0.778 0.000  0.02